(1)
Ag2PbBr GGA-PBEsol optimized geometry; space-group type = P4/mmm (123); calculated total energy = -12.2 eV for the cell shown; magnetic moment = 0.000 μB per formula unit
1.0
3.365 0.000 0.000
0.000 3.365 0.000
0.000 0.000 7.720
Ag Pb Br
2 1 1
Direct
0.000 0.000 0.242 Ag
0.000 0.000 0.758 Ag
0.500 0.500 0.500 Pb
0.500 0.500 0.000 Br

(2)
Ag2PbBr GGA-PBEsol optimized geometry; space-group type = P2/m (10); calculated total energy = -12.2 eV for the cell shown; magnetic moment = 0.000 μB per formula unit
1.0
5.122 0.000 0.000
0.000 3.385 0.000
-1.540 0.000 5.122
Ag Pb Br
2 1 1
Direct
0.000 0.000 0.000 Ag
0.500 0.500 0.000 Ag
0.000 0.500 0.500 Pb
0.500 0.000 0.500 Br

(3)
AgPbBr2 GGA-PBEsol optimized geometry; space-group type = P4mm (99); calculated total energy = -12.0 eV for the cell shown; magnetic moment = 0.000 μB per formula unit
1.0
3.623 0.000 0.000
0.000 3.623 0.000
0.000 0.000 7.954
Ag Pb Br
1 1 2
Direct
0.000 0.000 0.000 Ag
0.500 0.500 0.760 Pb
0.000 0.000 0.524 Br
0.500 0.500 0.157 Br

(4)
Ag4PbBr GGA-PBEsol optimized geometry; space-group type = F-43m (216); calculated total energy = -18.5 eV for the cell shown; magnetic moment = 0.000 μB per formula unit
1.0
0.000 3.941 3.941
3.941 0.000 3.941
3.941 3.941 0.000
Ag Pb Br
4 1 1
Direct
0.125 0.125 0.125 Ag
0.125 0.125 0.625 Ag
0.125 0.625 0.125 Ag
0.625 0.125 0.125 Ag
0.750 0.750 0.750 Pb
0.500 0.500 0.500 Br

(5)
Ag2PbBr GGA-PBEsol optimized geometry; space-group type = F-43m (216); calculated total energy = -11.6 eV for the cell shown; magnetic moment = 0.000 μB per formula unit
1.0
0.000 3.587 3.587
3.587 0.000 3.587
3.587 3.587 0.000
Ag Pb Br
2 1 1
Direct
0.000 0.000 0.000 Ag
0.250 0.250 0.250 Ag
0.750 0.750 0.750 Pb
0.500 0.500 0.500 Br

(6)
Ag3PbBr GGA-PBEsol optimized geometry; space-group type = Pm-3m (221); calculated total energy = -12.2 eV for the cell shown; magnetic moment = 0.001 μB per formula unit
1.0
5.278 0.000 0.000
0.000 5.278 0.000
0.000 0.000 5.278
Ag Pb Br
3 1 1
Direct
0.000 0.000 0.500 Ag
0.000 0.500 0.000 Ag
0.500 0.000 0.000 Ag
0.000 0.000 0.000 Pb
0.500 0.500 0.500 Br

(7)
AgPb3Br GGA-PBEsol optimized geometry; space-group type = Pm-3m (221); calculated total energy = -15.8 eV for the cell shown; magnetic moment = 0.002 μB per formula unit
1.0
5.464 0.000 0.000
0.000 5.464 0.000
0.000 0.000 5.464
Ag Pb Br
1 3 1
Direct
0.000 0.000 0.000 Ag
0.000 0.000 0.500 Pb
0.000 0.500 0.000 Pb
0.500 0.000 0.000 Pb
0.500 0.500 0.500 Br

(8)
Ag2PbBr GGA-PBEsol optimized geometry; space-group type = R3m (160); calculated total energy = -12.5 eV for the cell shown; magnetic moment = 0.000 μB per formula unit
1.0
1.911 1.103 7.556
-1.911 1.103 7.556
0.000 -2.207 7.556
Ag Pb Br
2 1 1
Direct
0.000 0.000 0.000 Ag
0.263 0.263 0.263 Ag
0.516 0.516 0.516 Pb
0.741 0.741 0.741 Br

(9)
AgPbBr2 GGA-PBEsol optimized geometry; space-group type = Fm-3m (225); calculated total energy = -11.9 eV for the cell shown; magnetic moment = 0.000 μB per formula unit
1.0
0.000 3.674 3.674
3.674 0.000 3.674
3.674 3.674 0.000
Ag Pb Br
1 1 2
Direct
0.000 0.000 0.000 Ag
0.500 0.500 0.500 Pb
0.250 0.250 0.250 Br
0.750 0.750 0.750 Br

(10)
AgPdSeBr2 GGA-PBEsol optimized geometry; space-group type = P4/mmm (123); calculated total energy = -13.5 eV for the cell shown; magnetic moment = 1.466 μB per formula unit
1.0
5.081 0.000 0.000
0.000 5.081 0.000
0.000 0.000 5.032
Ag Pd Se Br
1 1 1 2
Direct
0.000 0.000 0.000 Ag
0.500 0.500 0.500 Pd
0.000 0.000 0.500 Se
0.000 0.500 0.000 Br
0.500 0.000 0.000 Br

no.,E_form (uncorrected) (eV/atom),calculated volume (A^3/atom),D(E_F) (states/eV/cell)
1,0.07,21.9,1.60
2,0.08,22.2,1.03
3,-0.24,26.1,2.11
4,0.10,20.4,3.15
5,0.23,23.1,1.47
6,0.73,29.4,7.59
7,0.28,32.6,4.38
8,0.01,23.9,1.58
9,-0.22,24.8,1.26
10,0.67,26.0,8.08